w) First-principles (GGA-PBE) data for a relaxed structure of HfZrPd3, as listed in the Alexandria database.

Output
space group: Pm-3m, No. 221
crystal system: cubic

a = 4.817 Å, b = 4.817 Å, c = 4.817 Å
α = 90.00°, β = 90.00°, γ = 90.00°
Site moments in Bohr magnetons follow the coordinates.
Sites, in units of the cell vectors:
Hf 0.000 0.000 0.000  0.00
Zr 0.500 0.500 0.500  0.18
Pd 0.000 0.500 0.000  0.01
Pd 0.000 0.000 0.500  0.01
Pd 0.500 0.000 0.000  0.01



x) First-principles (GGA-PBE) data for a relaxed structure of HfZrPd3, as listed in the Alexandria database.

Output
space group: C2/m, No. 12
crystal system: monoclinic

a = 3.863 Å, b = 5.332 Å, c = 9.260 Å
α = 91.13°, β = 90.00°, γ = 111.24°
Sites, in units of the cell vectors:
Hf 0.857 0.714 0.928
Hf 0.143 0.286 0.072
Zr 0.644 0.289 0.570
Zr 0.356 0.711 0.430
Pd 0.052 0.105 0.353
Pd 0.948 0.895 0.647
Pd 0.444 0.887 0.139
Pd 0.556 0.113 0.861
Pd 0.251 0.502 0.755
Pd 0.749 0.498 0.245



Each structure's energy above the most stable one, in kJ/mol of atoms: w) 99.4; x) 0.0.